Entry 1:
NaNbCl3 | GGA-PBE | relaxed

The structure in CIF format:
```
data_NaNbCl3
_chemical_formula_sum 'Na1 Nb1 Cl3'
_symmetry_space_group_name_H-M 'P m -3 m'
_symmetry_Int_Tables_number 221
_symmetry_space_group_name_Hall '-P 4 2 3'
_cell_length_a 4.930
_cell_length_b 4.930
_cell_length_c 4.930
_cell_angle_alpha 90.00
_cell_angle_beta 90.00
_cell_angle_gamma 90.00
loop_
_atom_site_label
_atom_site_fract_x
_atom_site_fract_y
_atom_site_fract_z
Na1 0.000 0.000 0.000
Nb1 0.500 0.500 0.500
Cl1 0.000 0.000 0.500
```

Computed properties:
**Electronic total energy**: -3.55 eV per atom
**Calculated volume**: 119.8 Å³ per cell



Entry 2:
Pr2Nd6Sm | GGA-PBE | relaxed

The structure in CIF format:
```
data_Pr2Nd6Sm
_chemical_formula_sum 'Pr4 Nd12 Sm2'
_symmetry_space_group_name_H-M 'I m m m'
_symmetry_Int_Tables_number 71
_symmetry_space_group_name_Hall '-I 2 2'
_cell_length_a 3.519
_cell_length_b 10.388
_cell_length_c 17.689
_cell_angle_alpha 90.00
_cell_angle_beta 90.00
_cell_angle_gamma 90.00
loop_
_atom_site_label
_atom_site_fract_x
_atom_site_fract_y
_atom_site_fract_z
Pr1 0.000 0.000 0.167
Nd1 0.000 0.187 0.334
Nd2 0.000 0.190 0.000
Sm1 0.000 0.000 0.500
```

Computed properties:
**Calculated formation energy**: 170 meV/atom
**Calculated volume**: 646.7 Å³ per cell



Entry 3:
MnZnPd2 | GGA-PBE | relaxed

The structure in CIF format:
```
data_MnZnPd2
_chemical_formula_sum 'Mn4 Zn4 Pd8'
_symmetry_space_group_name_H-M 'I -4 2 d'
_symmetry_Int_Tables_number 122
_symmetry_space_group_name_Hall 'I -4 2bw'
_cell_length_a 3.773
_cell_length_b 3.773
_cell_length_c 17.224
_cell_angle_alpha 90.00
_cell_angle_beta 90.00
_cell_angle_gamma 90.00
loop_
_atom_site_label
_atom_site_fract_x
_atom_site_fract_y
_atom_site_fract_z
Mn1 0.000 0.000 0.000
Zn1 0.000 0.000 0.500
Pd1 0.245 0.250 0.125
```

Computed properties:
**Calculated formation energy**: 430 meV/atom
**Calculated volume**: 245.3 Å³ per cell



Entry 4:
YGe2O4 | GGA-PBE | relaxed

The structure in CIF format:
```
data_YGe2O4
_chemical_formula_sum 'Y2 Ge4 O8'
_symmetry_space_group_name_H-M 'I 4/m m m'
_symmetry_Int_Tables_number 139
_symmetry_space_group_name_Hall '-I 4 2'
_cell_length_a 7.157
_cell_length_b 7.157
_cell_length_c 5.956
_cell_angle_alpha 90.00
_cell_angle_beta 90.00
_cell_angle_gamma 90.00
loop_
_atom_site_label
_atom_site_fract_x
_atom_site_fract_y
_atom_site_fract_z
Y1 0.000 0.000 0.000
Ge1 0.000 0.500 0.250
O1 0.000 0.315 0.000
```

Computed properties:
**Electronic total energy**: -6.50 eV per atom
**Calculated volume**: 305.1 Å³ per cell



Entry 5:
CaScMn | GGA-PBE | relaxed

The structure in CIF format:
```
data_CaScMn
_chemical_formula_sum 'Ca4 Sc4 Mn4'
_symmetry_space_group_name_H-M 'F -4 3 m'
_symmetry_Int_Tables_number 216
_symmetry_space_group_name_Hall 'F -4 2 3'
_cell_length_a 6.900
_cell_length_b 6.900
_cell_length_c 6.900
_cell_angle_alpha 90.00
_cell_angle_beta 90.00
_cell_angle_gamma 90.00
loop_
_atom_site_label
_atom_site_fract_x
_atom_site_fract_y
_atom_site_fract_z
Ca1 0.000 0.000 0.000
Sc1 0.000 0.000 0.500
Mn1 0.250 0.250 0.750
```

Computed properties:
**Calculated formation energy**: 640 meV/atom
**Calculated volume**: 328.4 Å³ per cell



Entry 6:
La2TbNd3Er6 | GGA-PBE | relaxed

The structure in CIF format:
```
data_La2TbNd3Er6
_chemical_formula_sum 'La4 Tb2 Nd6 Er12'
_symmetry_space_group_name_H-M 'C 1 2/m 1'
_symmetry_Int_Tables_number 12
_cell_length_a 6.247
_cell_length_b 10.815
_cell_length_c 11.798
_cell_angle_alpha 90.00
_cell_angle_beta 100.14
_cell_angle_gamma 90.00
loop_
_symmetry_equiv_pos_as_xyz
'x,y,z'
'-x,-y,-z'
'-x,y,-z'
'x,-y,z'
'x+1/2,y+1/2,z'
'-x+1/2,-y+1/2,-z'
'-x+1/2,y+1/2,-z'
'x+1/2,-y+1/2,z'
loop_
_atom_site_label
_atom_site_fract_x
_atom_site_fract_y
_atom_site_fract_z
La1 0.000 0.167 0.000
Tb1 0.000 0.500 0.000
Nd1 0.000 0.000 0.500
Nd2 0.000 0.333 0.500
Er1 0.249 0.500 0.749
Er2 0.250 0.166 0.749
```

Computed properties:
**Calculated formation energy**: 16 meV/atom
**Calculated volume**: 784.6 Å³ per cell



Entry 7:
Zr8Tc2Os | GGA-PBE | relaxed

The structure in CIF format:
```
data_Zr8Tc2Os
_chemical_formula_sum 'Zr16 Tc4 Os2'
_symmetry_space_group_name_H-M 'C 1 2/m 1'
_symmetry_Int_Tables_number 12
_cell_length_a 15.989
_cell_length_b 4.631
_cell_length_c 6.484
_cell_angle_alpha 90.00
_cell_angle_beta 107.21
_cell_angle_gamma 90.00
loop_
_symmetry_equiv_pos_as_xyz
'x,y,z'
'-x,-y,-z'
'-x,y,-z'
'x,-y,z'
'x+1/2,y+1/2,z'
'-x+1/2,-y+1/2,-z'
'-x+1/2,y+1/2,-z'
'x+1/2,-y+1/2,z'
loop_
_atom_site_label
_atom_site_fract_x
_atom_site_fract_y
_atom_site_fract_z
Zr1 0.020 0.000 0.261
Zr2 0.096 0.500 0.953
Zr3 0.164 0.500 0.448
Zr4 0.196 0.000 0.790
Tc1 0.184 0.000 0.191
Os1 0.000 0.500 0.500
```

Computed properties:
**Calculated formation energy**: -160 meV/atom
**Calculated volume**: 458.5 Å³ per cell



Entry 8:
In2PtCl2 | GGA-PBE | relaxed

The structure in CIF format:
```
data_In2PtCl2
_chemical_formula_sum 'In4 Pt2 Cl4'
_symmetry_space_group_name_H-M 'I 4/m m m'
_symmetry_Int_Tables_number 139
_symmetry_space_group_name_Hall '-I 4 2'
_cell_length_a 4.158
_cell_length_b 4.158
_cell_length_c 13.205
_cell_angle_alpha 90.00
_cell_angle_beta 90.00
_cell_angle_gamma 90.00
loop_
_atom_site_label
_atom_site_fract_x
_atom_site_fract_y
_atom_site_fract_z
In1 0.000 0.000 0.108
Pt1 0.000 0.000 0.500
Cl1 0.000 0.500 0.250
```

Computed properties:
**Electronic total energy**: -3.03 eV per atom
**Calculated volume**: 228.3 Å³ per cell



Entry 9:
NdSnIr | GGA-PBE | relaxed

The structure in CIF format:
```
data_NdSnIr
_chemical_formula_sum 'Nd3 Sn3 Ir3'
_symmetry_space_group_name_H-M 'P -6 2 m'
_symmetry_Int_Tables_number 189
_symmetry_space_group_name_Hall 'P -6 -2'
_cell_length_a 7.4873
_cell_length_b 7.4873
_cell_length_c 4.1892
_cell_angle_alpha 90.00
_cell_angle_beta 90.00
_cell_angle_gamma 120.00
loop_
_atom_site_label
_atom_site_fract_x
_atom_site_fract_y
_atom_site_fract_z
Nd1 0.0000 0.5876 0.0000
Sn1 0.0000 0.2504 0.5000
Ir1 0.0000 0.0000 0.0000
Ir2 0.3333 0.6667 0.5000
```

Computed properties:
**Calculated formation energy**: -783 meV/atom
**Calculated volume**: 203.4 Å³ per cell



Entry 10:
ReAu2SeN | GGA-PBE | relaxed

The structure in CIF format:
```
data_ReAu2SeN
_chemical_formula_sum 'Re1 Au2 Se1 N1'
_symmetry_space_group_name_H-M 'P 4/m m m'
_symmetry_Int_Tables_number 123
_symmetry_space_group_name_Hall '-P 4 2'
_cell_length_a 5.202
_cell_length_b 5.202
_cell_length_c 3.732
_cell_angle_alpha 90.00
_cell_angle_beta 90.00
_cell_angle_gamma 90.00
loop_
_atom_site_label
_atom_site_fract_x
_atom_site_fract_y
_atom_site_fract_z
Re1 0.000 0.000 0.000
Au1 0.000 0.500 0.000
Se1 0.500 0.500 0.500
N1 0.000 0.000 0.500
```

Computed properties:
**Electronic total energy**: -5.31 eV per atom
**Calculated volume**: 101.0 Å³ per cell